[1]
# GGA-PBE CsTl2P2S6, relaxed
data_CsTl2P2S6
_cell_length_a 9.134
_cell_length_b 6.682
_cell_length_c 6.628
_cell_angle_alpha 107.61
_cell_angle_beta 82.73
_cell_angle_gamma 68.39
_space_group_name_H-M_alt 'P 1'
_space_group_IT_number 1
_space_group_name_Hall 'P 1'
loop_
_atom_site_label
_atom_site_type_symbol
_atom_site_fract_x
_atom_site_fract_y
_atom_site_fract_z
_atom_site_occupancy
S1 S 0.134 0.558 0.758 1
S2 S 0.866 0.442 0.242 1
S3 S 0.890 0.978 0.371 1
S4 S 0.305 0.912 0.996 1
S5 S 0.110 0.022 0.629 1
S6 S 0.695 0.088 0.004 1
Tl1 Tl 0.805 0.511 0.799 1
Tl2 Tl 0.195 0.489 0.201 1
P1 P 0.122 0.884 0.868 1
P2 P 0.878 0.116 0.132 1
Cs1 Cs 0.500 0.000 0.500 1
# Uncorrected formation energy: -0.46 eV per atom

---

[2]
# GGA-PBE Cr2SbCl, relaxed
data_Cr2SbCl
_cell_length_a 9.752
_cell_length_b 9.752
_cell_length_c 9.752
_cell_angle_alpha 18.69
_cell_angle_beta 18.69
_cell_angle_gamma 18.69
_space_group_name_H-M_alt 'P 1'
_space_group_IT_number 1
_space_group_name_Hall 'P 1'
loop_
_atom_site_label
_atom_site_type_symbol
_atom_site_fract_x
_atom_site_fract_y
_atom_site_fract_z
_atom_site_occupancy
Sb1 Sb 0.523 0.523 0.523 1
Cl1 Cl 0.718 0.718 0.718 1
Cr1 Cr 0.266 0.266 0.266 1
Cr2 Cr 0.993 0.993 0.993 1
# ΔE to the lowest computed polymorph: 93 meV per atom
# Uncorrected formation energy: 0.06 eV per atom

---

[3]
# GGA-PBE Sr2Tl5Cd, relaxed
data_Sr2Tl5Cd
_cell_length_a 4.925
_cell_length_b 9.910
_cell_length_c 11.029
_cell_angle_alpha 90.00
_cell_angle_beta 90.00
_cell_angle_gamma 104.39
_space_group_name_H-M_alt 'P 1'
_space_group_IT_number 1
_space_group_name_Hall 'P 1'
loop_
_atom_site_label
_atom_site_type_symbol
_atom_site_fract_x
_atom_site_fract_y
_atom_site_fract_z
_atom_site_occupancy
Tl1 Tl 0.365 0.730 0.538 1
Tl2 Tl 0.635 0.270 0.462 1
Tl3 Tl 0.365 0.730 0.962 1
Tl4 Tl 0.609 0.218 0.750 1
Tl5 Tl 0.635 0.270 0.038 1
Tl6 Tl 0.391 0.782 0.250 1
Tl7 Tl 0.199 0.399 0.902 1
Tl8 Tl 0.801 0.601 0.098 1
Tl9 Tl 0.801 0.601 0.402 1
Tl10 Tl 0.199 0.399 0.598 1
Cd1 Cd 0.541 0.083 0.250 1
Cd2 Cd 0.459 0.917 0.750 1
Sr1 Sr 0.000 0.000 0.500 1
Sr2 Sr 0.805 0.610 0.750 1
Sr3 Sr 0.195 0.390 0.250 1
Sr4 Sr 0.000 0.000 0.000 1
# Energy of formation from the pure elements: -212.7 meV per atom

---

[4]
# GGA-PBE MnCu2Pb, relaxed
data_MnCu2Pb
_cell_length_a 4.604
_cell_length_b 4.604
_cell_length_c 5.130
_cell_angle_alpha 80.72
_cell_angle_beta 80.72
_cell_angle_gamma 39.72
_space_group_name_H-M_alt 'P 1'
_space_group_IT_number 1
_space_group_name_Hall 'P 1'
loop_
_atom_site_label
_atom_site_type_symbol
_atom_site_fract_x
_atom_site_fract_y
_atom_site_fract_z
_atom_site_occupancy
Cu1 Cu 0.986 0.986 0.061 1
Cu2 Cu 0.514 0.514 0.439 1
Pb1 Pb 0.750 0.750 0.750 1
Mn1 Mn 0.250 0.250 0.250 1
# Energy of formation from the pure elements: 321.5 meV per atom

---

Total energy list, top to bottom, in eV/atom: -4.21, -6.25, -2.23, -4.95